Material: Ba4OF6
Method: DFT, meta-GGA SCAN
State: single point on PBEsol structure

Results
total DFT energy (no corrections)	-454.66	eV for the cell shown
relative energy among the computed polymorphs	3.32	kJ per mole of atoms
E_form (uncorrected)	-3.79	eV per atom

a = 8.7938 Å, b = 8.7938 Å, c = 6.5769 Å
α = 90.00°, β = 90.00°, γ = 120.00°
Space group P6_3mc (No. 186)
Unique sites:
Ba: 0.1831 0.3661 0.0000 [6 per cell]
Ba: 0.3333 0.6667 0.4885 [2 per cell]
O: 0.3333 0.6667 0.1152 [2 per cell]
F: 0.0664 0.5332 0.7449 [6 per cell]
F: 0.1502 0.3005 0.4037 [6 per cell]